(1)
Compound: Ge3IrBr
Source: Alexandria via LeMat-Bulk
Functional: PBE
Structure: optimized geometry

abc: 4.981 4.981 4.981
angles: 90.00 90.00 90.00
Space group Pm-3m (No. 221)
Inequivalent atoms, fractional coordinates:
Ge (0.000, 0.000, 0.500)
Ir (0.500, 0.500, 0.500)
Br (0.000, 0.000, 0.000)

Computed properties:
The formation energy from raw total energies is 1567 meV/atom. The value obtained for the total energy is -3.31 eV per atom.


(2)
Compound: GeIr3Br
Source: Alexandria via LeMat-Bulk
Functional: PBE
Structure: optimized geometry

abc: 4.660 4.660 4.660
angles: 90.00 90.00 90.00
Space group Pm-3m (No. 221)
Inequivalent atoms, fractional coordinates:
Ge (0.000, 0.000, 0.000)
Ir (0.000, 0.000, 0.500)
Br (0.500, 0.500, 0.500)

Computed properties:
The formation energy from raw total energies is 1492 meV/atom. The value obtained for the total energy is -5.08 eV per atom.


(3)
Compound: Ge3IrBr
Source: Alexandria via LeMat-Bulk
Functional: PBE
Structure: optimized geometry

abc: 4.882 4.882 4.882
angles: 90.00 90.00 90.00
Space group Pm-3m (No. 221)
Inequivalent atoms, fractional coordinates:
Ge (0.000, 0.000, 0.500)
Ir (0.000, 0.000, 0.000)
Br (0.500, 0.500, 0.500)

Computed properties:
The formation energy from raw total energies is 115 meV/atom. The value obtained for the total energy is -4.76 eV per atom.


(4)
Compound: GeIrBr2
Source: Alexandria via LeMat-Bulk
Functional: PBE
Structure: optimized geometry

abc: 4.721 4.721 16.918
angles: 90.00 90.00 90.00
Space group I-42d (No. 122)
Inequivalent atoms, fractional coordinates:
Ge (0.000, 0.000, 0.000)
Ir (0.000, 0.000, 0.500)
Br (0.216, 0.250, 0.625)

Computed properties:
The formation energy from raw total energies is 698 meV/atom. The value obtained for the total energy is -3.51 eV per atom.